SnOF3 | PBE-GGA | relaxed

Unit cell a=4.0247 b=4.0247 c=4.0247 alpha=90.00 beta=90.00 gamma=90.00
Closest atoms and distances in Å follow each position.
Space group Pm-3m (No. 221)
Asymmetric unit:
Sn  0.0000  0.0000  0.0000  12 F 2.85
O  0.5000  0.5000  0.5000  6 F 2.01
F  0.0000  0.5000  0.5000  2 O 2.01

Values from the calculation:
ΔE to the lowest computed polymorph ... 652 meV/atom
Formation energy (no corrections) ... -0.60 eV/atom
Total energy ... -3.51 eV per atom